1.
{"formula": "Pm2MnCo3Ge4", "functional": "PBE", "state": "relaxed", "cell": [[4.0917, 0.0000, 0.0000], [0.0000, 4.0917, 0.0000], [0.0000, 0.0000, 10.0163]], "species": ["Pm", "Pm", "Mn", "Co", "Co", "Co", "Ge", "Ge", "Ge", "Ge"], "fractional_positions": [[0.5000, 0.0000, 0.2419], [0.0000, 0.5000, 0.7581], [0.5000, 0.5000, 0.5000], [0.0000, 0.0000, 0.5000], [0.5000, 0.0000, 0.8772], [0.0000, 0.5000, 0.1228], [0.5000, 0.5000, 0.0000], [0.0000, 0.0000, 0.0000], [0.5000, 0.0000, 0.6394], [0.0000, 0.5000, 0.3606]], "energy_ev_per_cell": -63.65, "formation_energy_kj_per_mol_atoms": -50.1, "crystal_system": "tetragonal", "sg": "P-4m2, No. 115", "rho_g_cm3": 8.0}

2.
{"formula": "PrMnCoGe2", "functional": "PBE", "state": "relaxed", "cell": [[-0.2587, 5.7582, -1.7275], [-2.1975, 1.6910, -5.3403], [-1.4077, -3.4959, 4.6909]], "species": ["Pr", "Mn", "Co", "Ge", "Ge"], "fractional_positions": [[0.0000, 0.0000, 0.0000], [0.2500, 0.7500, 0.5000], [0.7500, 0.2500, 0.5000], [0.6261, 0.6261, 0.0000], [0.3739, 0.3739, 0.0000]], "energy_ev_per_cell": -32.82, "formation_energy_kj_per_mol_atoms": -48.8, "crystal_system": "tetragonal", "sg": "I-4m2, No. 119", "rho_g_cm3": 7.5}

3.
{"formula": "Pu2MnCo3Ge4", "functional": "PBE", "state": "relaxed", "cell": [[4.0366, 0.0000, 0.0000], [0.0000, 4.0366, 0.0000], [0.0000, 0.0000, 9.9650]], "species": ["Pu", "Pu", "Mn", "Co", "Co", "Co", "Ge", "Ge", "Ge", "Ge"], "fractional_positions": [[0.5000, 0.0000, 0.2444], [0.0000, 0.5000, 0.7556], [0.5000, 0.5000, 0.5000], [0.0000, 0.0000, 0.5000], [0.5000, 0.0000, 0.8730], [0.0000, 0.5000, 0.1270], [0.5000, 0.5000, 0.0000], [0.0000, 0.0000, 0.0000], [0.5000, 0.0000, 0.6384], [0.0000, 0.5000, 0.3616]], "energy_ev_per_cell": -81.28, "formation_energy_kj_per_mol_atoms": -35.3, "crystal_system": "tetragonal", "sg": "P-4m2, No. 115", "rho_g_cm3": 10.3}